Compound: SrLiTa
Source: Alexandria via LeMat-Bulk
Functional: PBE
Structure: relaxed

## Properties
**Calculated formation energy**: 0.5860 eV per atom
**Energy above the lowest structure with this stoichiometry**: 0.213 eV per atom
**Space group**: P1
**Total moment**: 0.00 μB/cell
**Theoretical density**: 5.8 g/cm³

Lattice parameters (Å, degrees): 6.362 3.381 8.253 101.78 69.17 105.38
Fractional positions:
Sr: 0.864 0.147 0.840
Li: 0.693 0.781 0.279
Li: 0.831 0.457 0.493
Sr: 0.262 0.471 0.094
Ta: 0.291 0.172 0.461
Ta: 0.396 0.827 0.669

---

Compound: BaZrHO2
Source: Alexandria via LeMat-Bulk
Functional: PBE
Structure: relaxed

## Properties
**Energy above the lowest structure with this stoichiometry**: 0.000 eV per atom
**Space group**: P4/mmm
**Total moment**: 0.00 μB/cell
**Theoretical density**: 5.8 g/cm³

Lattice parameters (Å, degrees): 4.301 4.301 4.060 90.00 90.00 90.00
Fractional positions:
O: 0.500 0.000 0.000
H: 0.000 0.000 0.500
Ba: 0.500 0.500 0.500
O: 0.000 0.500 0.000
Zr: 0.000 0.000 0.000

---

Compound: PmNdPtRh
Source: Alexandria via LeMat-Bulk
Functional: PBE
Structure: relaxed

## Properties
**Calculated formation energy**: -0.8664 eV per atom
**Energy above the lowest structure with this stoichiometry**: 0.074 eV per atom
**Space group**: F-43m
**Total moment**: 0.00 μB/cell
**Theoretical density**: 10.8 g/cm³

Lattice parameters (Å, degrees): 5.041 5.041 5.041 60.00 60.00 60.00
Fractional positions:
Pm: 0.000 0.000 0.000
Pt: 0.750 0.750 0.750
Nd: 0.500 0.500 0.500
Rh: 0.250 0.250 0.250

---

Compound: Mn2Fe2Rh
Source: Alexandria via LeMat-Bulk
Functional: PBE
Structure: relaxed

## Properties
**Calculated formation energy**: 0.1307 eV per atom
**Energy above the lowest structure with this stoichiometry**: 0.000 eV per atom
**Space group**: P4/mbm
**Total moment**: 0.00 μB/cell
**Theoretical density**: 9.5 g/cm³

Lattice parameters (Å, degrees): 6.653 6.653 2.574 90.00 90.00 90.00
Fractional positions:
Mn: 0.329 0.171 0.500
Fe: 0.624 0.124 0.000
Mn: 0.171 0.671 0.500
Rh: 0.500 0.500 0.000
Rh: 0.000 0.000 0.000
Fe: 0.124 0.376 0.000
Mn: 0.829 0.329 0.500
Fe: 0.376 0.876 0.000
Mn: 0.671 0.829 0.500
Fe: 0.876 0.624 0.000

---

Compound: BeAsPt2
Source: Alexandria via LeMat-Bulk
Functional: PBE
Structure: relaxed

## Properties
**Calculated formation energy**: -0.3265 eV per atom
**Space group**: P-4m2
**Total moment**: 0.00 μB/cell
**Theoretical density**: 13.1 g/cm³

Lattice parameters (Å, degrees): 3.760 3.760 4.238 90.00 90.00 90.00
Fractional positions:
Be: 0.500 0.875 0.625
Pt: 0.500 0.375 0.260
Pt: 0.000 0.875 0.990
As: 0.000 0.375 0.625

---

Compound: NaBiRu2O8
Source: Alexandria via LeMat-Bulk
Functional: PBE
Structure: relaxed

## Properties
**Space group**: R32
**Formation energy (no corrections)**: -881 meV/atom
**Total moment**: 3.58 μB/cell
**Theoretical density**: 4.7 g/cm³

Lattice parameters (Å, degrees): 5.327 5.327 8.640 72.05 72.05 60.00
Fractional positions:
O: 0.328 0.328 0.016
Ru: 0.256 0.256 0.232
O: 0.672 0.672 0.984
O: 0.454 0.086 0.684
O: 0.914 0.546 0.316
O: 0.086 0.776 0.684
O: 0.776 0.454 0.684
O: 0.546 0.224 0.316
Ru: 0.744 0.744 0.768
Bi: 0.500 0.500 0.500
Na: 0.000 0.000 0.000
O: 0.224 0.914 0.316

---

Compound: LiHoSi2Pt4
Source: Alexandria via LeMat-Bulk
Functional: PBE
Structure: relaxed

## Properties
**Space group**: R-3m
**Formation energy (no corrections)**: -908 meV/atom
**Total moment**: 0.00 μB/cell
**Theoretical density**: 13.2 g/cm³

Lattice parameters (Å, degrees): 4.154 4.154 8.829 76.39 76.39 60.00
Fractional positions:
Si: 0.239 0.239 0.283
Ho: 0.000 0.000 0.000
Si: 0.761 0.761 0.717
Pt: 0.135 0.135 0.595
Pt: 0.865 0.865 0.405
Li: 0.500 0.500 0.500
Pt: 0.404 0.404 0.787
Pt: 0.596 0.596 0.213

---

Compound: Cr2OsCl
Source: Alexandria via LeMat-Bulk
Functional: PBE
Structure: relaxed

## Properties
**Energy above the lowest structure with this stoichiometry**: 0.214 eV per atom
**Space group**: C2/m
**Formation energy (no corrections)**: 384 meV/atom
**Total moment**: 4.62 μB/cell
**Theoretical density**: 7.8 g/cm³

Lattice parameters (Å, degrees): 3.937 3.937 7.574 64.19 64.19 42.88
Fractional positions:
Os: 0.750 0.750 0.750
Cr: 0.924 0.924 0.944
Cr: 0.576 0.576 0.556
Cl: 0.250 0.250 0.250

---

Compound: TiGe2
Source: Alexandria via LeMat-Bulk
Functional: PBE
Structure: relaxed

## Properties
**Calculated formation energy**: -0.2558 eV per atom
**Space group**: I4/mmm
**Total moment**: 0.00 μB/cell
**Theoretical density**: 6.5 g/cm³

Lattice parameters (Å, degrees): 3.351 3.351 4.971 109.73 109.73 89.98
Fractional positions:
Ge: 0.162 0.162 0.325
Ge: 0.838 0.838 0.675
Ti: 0.500 0.500 0.000

---

Compound: Rb2BeB
Source: Alexandria via LeMat-Bulk
Functional: PBE
Structure: relaxed

## Properties
**Calculated formation energy**: 0.6311 eV per atom
**Energy above the lowest structure with this stoichiometry**: 0.000 eV per atom
**Space group**: I-42d
**Total moment**: 0.00 μB/cell
**Theoretical density**: 2.1 g/cm³

Lattice parameters (Å, degrees): 12.666 12.666 9.147 46.18 46.18 90.00
Fractional positions:
Rb: 0.875 0.082 0.750
B: 0.750 0.250 0.500
Be: 0.500 0.500 0.000
B: 0.000 0.000 0.000
Rb: 0.375 0.168 0.750
Rb: 0.918 0.625 0.250
Be: 0.250 0.750 0.500
Rb: 0.832 0.125 0.250

---

Compound: CuSiBr2
Source: Alexandria via LeMat-Bulk
Functional: PBE
Structure: relaxed

## Properties
**Energy above the lowest structure with this stoichiometry**: 0.454 eV per atom
**Space group**: Immm
**Formation energy (no corrections)**: 356 meV/atom
**Total moment**: 0.00 μB/cell
**Theoretical density**: 4.5 g/cm³

Lattice parameters (Å, degrees): 5.467 5.467 5.467 141.83 106.65 85.83
Fractional positions:
Br: 0.975 0.975 0.000
Br: 0.525 0.525 0.000
Si: 0.250 0.750 0.500
Cu: 0.750 0.250 0.500

---

Compound: La5PuBi6
Source: Alexandria via LeMat-Bulk
Functional: PBE
Structure: relaxed

## Properties
**Calculated formation energy**: -0.9227 eV per atom
**Space group**: C2/m
**Total moment**: 5.04 μB/cell
**Theoretical density**: 8.4 g/cm³

Lattice parameters (Å, degrees): 8.110 8.110 8.112 99.60 99.60 119.99
Fractional positions:
La: 0.832 0.168 0.500
Bi: 0.245 0.245 0.752
Bi: 0.590 0.918 0.754
Bi: 0.410 0.082 0.246
La: 0.168 0.832 0.500
Bi: 0.918 0.590 0.754
Pu: 0.000 0.000 0.000
Bi: 0.755 0.755 0.248
La: 0.666 0.334 0.000
La: 0.500 0.500 0.500
Bi: 0.082 0.410 0.246
La: 0.334 0.666 0.000

---

Copy entry 1 word for word.
Compound: SrLiTa
Source: Alexandria via LeMat-Bulk
Functional: PBE
Structure: relaxed

## Properties
**Calculated formation energy**: 0.5860 eV per atom
**Energy above the lowest structure with this stoichiometry**: 0.213 eV per atom
**Space group**: P1
**Total moment**: 0.00 μB/cell
**Theoretical density**: 5.8 g/cm³

Lattice parameters (Å, degrees): 6.362 3.381 8.253 101.78 69.17 105.38
Fractional positions:
Sr: 0.864 0.147 0.840
Li: 0.693 0.781 0.279
Li: 0.831 0.457 0.493
Sr: 0.262 0.471 0.094
Ta: 0.291 0.172 0.461
Ta: 0.396 0.827 0.669

---

Look up the total moment of the ninth one.
0.00 μB/cell

---

theoretical density of number 12 (La5PuBi6)?
8.4 g/cm³

---

Please write out number 2 again, unchanged.
Compound: BaZrHO2
Source: Alexandria via LeMat-Bulk
Functional: PBE
Structure: relaxed

## Properties
**Energy above the lowest structure with this stoichiometry**: 0.000 eV per atom
**Space group**: P4/mmm
**Total moment**: 0.00 μB/cell
**Theoretical density**: 5.8 g/cm³

Lattice parameters (Å, degrees): 4.301 4.301 4.060 90.00 90.00 90.00
Fractional positions:
O: 0.500 0.000 0.000
H: 0.000 0.000 0.500
Ba: 0.500 0.500 0.500
O: 0.000 0.500 0.000
Zr: 0.000 0.000 0.000